{
  "formula": "PmCrAsO6",
  "functional": "PBE+U",
  "state": "relaxed",
  "lattice": [[-2.492, 1.853, 3.694], [-0.659, -4.437, 1.781], [7.955, 0.810, 4.960]],
  "species": ["O", "O", "O", "O", "O", "Pm", "Cr", "As", "Pm", "As", "Cr", "O", "O", "O", "O", "O", "O", "O"],
  "frac_coords": [[0.729, 0.729, 0.353], [0.229, 0.771, 0.853], [0.296, 0.296, 0.970], [0.331, 0.331, 0.676], [0.169, 0.831, 0.176], [0.500, 0.500, 0.170], [0.000, 0.000, 0.002], [0.500, 0.500, 0.831], [0.000, 0.000, 0.670], [0.000, 0.000, 0.331], [0.500, 0.500, 0.502], [0.831, 0.169, 0.176], [0.796, 0.204, 0.470], [0.771, 0.229, 0.853], [0.204, 0.796, 0.470], [0.704, 0.704, 0.970], [0.271, 0.271, 0.353], [0.669, 0.669, 0.676]],
  "energy_ev_per_cell": -125.43,
  "spacegroup": "No. 102"
}